# Y3GaSn3 GGA-PBE relaxed
data_Y3GaSn3
_space_group_name_H-M_alt 'P 1'
_space_group_IT_number 1
_cell_length_a 8.668
_cell_length_b 8.668
_cell_length_c 5.629
_cell_angle_alpha 90.00
_cell_angle_beta 90.00
_cell_angle_gamma 120.00
loop_
_space_group_symop_operation_xyz
'x,y,z'
loop_
_atom_site_label
_atom_site_type_symbol
_atom_site_fract_x
_atom_site_fract_y
_atom_site_fract_z
_atom_site_occupancy
Y1 Y 0.090 0.448 0.250 1
Y2 Y 0.358 0.910 0.250 1
Y3 Y 0.448 0.358 0.750 1
Y4 Y 0.552 0.642 0.250 1
Y5 Y 0.642 0.090 0.750 1
Y6 Y 0.910 0.552 0.750 1
Ga1 Ga 0.333 0.667 0.750 1
Ga2 Ga 0.667 0.333 0.250 1
Sn1 Sn 0.056 0.258 0.750 1
Sn2 Sn 0.202 0.944 0.750 1
Sn3 Sn 0.258 0.202 0.250 1
Sn4 Sn 0.742 0.798 0.750 1
Sn5 Sn 0.798 0.056 0.250 1
Sn6 Sn 0.944 0.742 0.250 1
# DOS(E_F) ... 0.77 states/eV per atom
# Uncorrected energy ... -0.3924 Ry/atom
# Space group ... P6_3/m (176)
# E_form ... -2.940 eV per formula unit
# Calculated volume ... 366.2 Å³ per cell

# RbMnZn3 GGA-PBE relaxed
data_RbMnZn3
_space_group_name_H-M_alt 'P 1'
_space_group_IT_number 1
_cell_length_a 6.330
_cell_length_b 6.330
_cell_length_c 6.330
_cell_angle_alpha 90.00
_cell_angle_beta 90.00
_cell_angle_gamma 90.00
loop_
_space_group_symop_operation_xyz
'x,y,z'
loop_
_atom_site_label
_atom_site_type_symbol
_atom_site_fract_x
_atom_site_fract_y
_atom_site_fract_z
_atom_site_occupancy
Rb1 Rb 0.000 0.000 0.000 1
Mn1 Mn 0.500 0.500 0.500 1
Zn1 Zn 0.000 0.000 0.500 1
Zn2 Zn 0.000 0.500 0.000 1
Zn3 Zn 0.500 0.000 0.000 1
# DOS(E_F) ... 1.72 states/eV per atom
# Uncorrected energy ... -0.1088 Ry/atom
# ΔE to the lowest computed polymorph ... 952 meV/atom
# Space group ... Pm-3m (221)
# E_form ... 6.555 eV per formula unit
# Calculated volume ... 253.7 Å³ per cell

# Co2WAu GGA-PBE relaxed
data_Co2WAu
_space_group_name_H-M_alt 'P 1'
_space_group_IT_number 1
_cell_length_a 4.244
_cell_length_b 4.244
_cell_length_c 4.244
_cell_angle_alpha 60.00
_cell_angle_beta 60.00
_cell_angle_gamma 60.00
loop_
_space_group_symop_operation_xyz
'x,y,z'
loop_
_atom_site_label
_atom_site_type_symbol
_atom_site_fract_x
_atom_site_fract_y
_atom_site_fract_z
_atom_site_occupancy
Co1 Co 0.250 0.250 0.250 1
Co2 Co 0.750 0.750 0.750 1
W1 W 0.000 0.000 0.000 1
Au1 Au 0.500 0.500 0.500 1
# DOS(E_F) ... 0.72 states/eV per atom
# Uncorrected energy ... -0.5410 Ry/atom
# ΔE to the lowest computed polymorph ... 94 meV/atom
# Space group ... Fm-3m (225)
# E_form ... 0.997 eV per formula unit
# Calculated volume ... 54.0 Å³ per cell

# SmZrSc2 GGA-PBE relaxed
data_SmZrSc2
_space_group_name_H-M_alt 'P 1'
_space_group_IT_number 1
_cell_length_a 3.176
_cell_length_b 3.273
_cell_length_c 10.324
_cell_angle_alpha 90.00
_cell_angle_beta 90.00
_cell_angle_gamma 90.00
loop_
_space_group_symop_operation_xyz
'x,y,z'
loop_
_atom_site_label
_atom_site_type_symbol
_atom_site_fract_x
_atom_site_fract_y
_atom_site_fract_z
_atom_site_occupancy
Sm1 Sm 0.000 0.000 0.000 1
Zr1 Zr 0.500 0.000 0.500 1
Sc1 Sc 0.000 0.500 0.287 1
Sc2 Sc 0.000 0.500 0.713 1
# DOS(E_F) ... 1.67 states/eV per atom
# Uncorrected energy ... -0.4624 Ry/atom
# ΔE to the lowest computed polymorph ... 155 meV/atom
# Space group ... Pmmm (47)
# E_form ... 0.766 eV per formula unit
# Calculated volume ... 107.3 Å³ per cell

# Rb2Cd4InBi3 GGA-PBE relaxed
data_Rb2Cd4InBi3
_space_group_name_H-M_alt 'P 1'
_space_group_IT_number 1
_cell_length_a 5.168
_cell_length_b 5.168
_cell_length_c 12.662
_cell_angle_alpha 90.00
_cell_angle_beta 90.00
_cell_angle_gamma 90.00
loop_
_space_group_symop_operation_xyz
'x,y,z'
loop_
_atom_site_label
_atom_site_type_symbol
_atom_site_fract_x
_atom_site_fract_y
_atom_site_fract_z
_atom_site_occupancy
Rb1 Rb 0.000 0.500 0.245 1
Rb2 Rb 0.500 0.000 0.755 1
Cd1 Cd 0.000 0.000 0.000 1
Cd2 Cd 0.000 0.500 0.633 1
Cd3 Cd 0.500 0.000 0.367 1
Cd4 Cd 0.500 0.500 0.000 1
In1 In 0.000 0.000 0.500 1
Bi1 Bi 0.000 0.500 0.869 1
Bi2 Bi 0.500 0.000 0.131 1
Bi3 Bi 0.500 0.500 0.500 1
# DOS(E_F) ... 0.19 states/eV per atom
# Uncorrected energy ... -0.1610 Ry/atom
# Space group ... P-4m2 (115)
# E_form ... -1.930 eV per formula unit
# Calculated volume ... 338.2 Å³ per cell

# Mg14AlCuO16 GGA-PBE relaxed
data_Mg14AlCuO16
_space_group_name_H-M_alt 'P 1'
_space_group_IT_number 1
_cell_length_a 8.549
_cell_length_b 8.549
_cell_length_c 4.223
_cell_angle_alpha 90.00
_cell_angle_beta 90.00
_cell_angle_gamma 90.00
loop_
_space_group_symop_operation_xyz
'x,y,z'
loop_
_atom_site_label
_atom_site_type_symbol
_atom_site_fract_x
_atom_site_fract_y
_atom_site_fract_z
_atom_site_occupancy
Mg1 Mg 0.000 0.245 0.000 1
Mg2 Mg 0.000 0.500 0.500 1
Mg3 Mg 0.000 0.755 0.000 1
Mg4 Mg 0.245 0.000 0.000 1
Mg5 Mg 0.245 0.245 0.500 1
Mg6 Mg 0.245 0.755 0.500 1
Mg7 Mg 0.248 0.500 0.000 1
Mg8 Mg 0.500 0.000 0.500 1
Mg9 Mg 0.500 0.248 0.000 1
Mg10 Mg 0.500 0.752 0.000 1
Mg11 Mg 0.752 0.500 0.000 1
Mg12 Mg 0.755 0.000 0.000 1
Mg13 Mg 0.755 0.245 0.500 1
Mg14 Mg 0.755 0.755 0.500 1
Al1 Al 0.500 0.500 0.500 1
Cu1 Cu 0.000 0.000 0.500 1
O1 O 0.000 0.000 0.000 1
O2 O 0.000 0.270 0.500 1
O3 O 0.000 0.500 0.000 1
O4 O 0.000 0.730 0.500 1
O5 O 0.251 0.251 0.000 1
O6 O 0.251 0.749 0.000 1
O7 O 0.270 0.000 0.500 1
O8 O 0.272 0.500 0.500 1
O9 O 0.500 0.000 0.000 1
O10 O 0.500 0.272 0.500 1
O11 O 0.500 0.500 0.000 1
O12 O 0.500 0.728 0.500 1
O13 O 0.728 0.500 0.500 1
O14 O 0.730 0.000 0.500 1
O15 O 0.749 0.251 0.000 1
O16 O 0.749 0.749 0.000 1
# DOS(E_F) ... 0.04 states/eV per atom
# Uncorrected energy ... -0.4398 Ry/atom
# ΔE to the lowest computed polymorph ... 15 meV/atom
# Space group ... P4/mmm (123)
# Calculated volume ... 308.6 Å³ per cell

# K2GaBiO4 GGA-PBE relaxed
data_K2GaBiO4
_space_group_name_H-M_alt 'P 1'
_space_group_IT_number 1
_cell_length_a 5.997
_cell_length_b 5.997
_cell_length_c 5.997
_cell_angle_alpha 120.03
_cell_angle_beta 120.03
_cell_angle_gamma 89.95
loop_
_space_group_symop_operation_xyz
'x,y,z'
loop_
_atom_site_label
_atom_site_type_symbol
_atom_site_fract_x
_atom_site_fract_y
_atom_site_fract_z
_atom_site_occupancy
K1 K 0.000 0.000 0.000 1
K2 K 0.750 0.250 0.500 1
Ga1 Ga 0.250 0.750 0.500 1
Bi1 Bi 0.500 0.500 0.000 1
O1 O 0.207 0.647 0.124 1
O2 O 0.353 0.477 0.560 1
O3 O 0.523 0.084 0.876 1
O4 O 0.916 0.793 0.440 1
# DOS(E_F) ... 0.00 states/eV per atom
# Uncorrected energy ... -0.3789 Ry/atom
# Space group ... I-4 (82)
# Calculated volume ... 152.5 Å³ per cell

# La2PrHo4 GGA-PBE relaxed
data_La2PrHo4
_space_group_name_H-M_alt 'P 1'
_space_group_IT_number 1
_cell_length_a 11.819
_cell_length_b 11.819
_cell_length_c 11.819
_cell_angle_alpha 157.39
_cell_angle_beta 157.39
_cell_angle_gamma 32.19
loop_
_space_group_symop_operation_xyz
'x,y,z'
loop_
_atom_site_label
_atom_site_type_symbol
_atom_site_fract_x
_atom_site_fract_y
_atom_site_fract_z
_atom_site_occupancy
La1 La 0.100 0.100 0.000 1
La2 La 0.900 0.900 0.000 1
Pr1 Pr 0.500 0.500 0.000 1
Ho1 Ho 0.250 0.750 0.500 1
Ho2 Ho 0.359 0.359 0.000 1
Ho3 Ho 0.641 0.641 0.000 1
Ho4 Ho 0.750 0.250 0.500 1
# DOS(E_F) ... 1.62 states/eV per atom
# Uncorrected energy ... -0.3284 Ry/atom
# ΔE to the lowest computed polymorph ... 170 meV/atom
# Space group ... I4/mmm (139)
# E_form ... 1.669 eV per formula unit
# Calculated volume ... 243.9 Å³ per cell

Which of these has the highest uncorrected energy?
RbMnZn3

Look up the uncorrected energy of the sixth one.
-0.4398 Ry/atom

Among the records above, which one has the highest calculated volume?
Y3GaSn3